1.
Here is a relaxed structure of SiHgS3 from Alexandria via LeMat-Bulk. Energies are from PBE.

Space-group type   R-3, No. 148
Electronic total energy   -3.880 eV per atom
Formation energy (no corrections)   -25 kJ per mole of atoms

```
SiHgS3
1.0
-1.812 4.335 4.499
-0.666 -1.837 6.205
7.150 2.704 4.978
Hg S Si
2 6 2
Direct
0.254 0.254 0.237 Hg
0.746 0.746 0.763 Hg
0.259 0.634 0.244 S
0.634 0.863 0.244 S
0.137 0.741 0.756 S
0.863 0.259 0.244 S
0.366 0.137 0.756 S
0.741 0.366 0.756 S
0.080 0.080 0.759 Si
0.920 0.920 0.241 Si
```

***

2.
Here is a relaxed structure of MnCoSi2 from Alexandria via LeMat-Bulk. Energies are from PBE.

Space-group type   Fm-3m, No. 225
Electronic total energy   -7.217 eV per atom
Formation energy (no corrections)   -42 kJ per mole of atoms

```
MnCoSi2
1.0
0.000 2.780 2.780
2.780 0.000 2.780
2.780 2.780 0.000
Mn Co Si
1 1 2
Direct
0.000 0.000 0.000 Mn
0.500 0.500 0.500 Co
0.250 0.250 0.250 Si
0.750 0.750 0.750 Si
```

***

3.
Here is a relaxed structure of TmMnCo2 from Alexandria via LeMat-Bulk. Energies are from PBE.

Space-group type   P4/mmm, No. 123
Electronic total energy   -6.982 eV per atom
Formation enthalpy at 0 K   -0.1 eV/f.u.

```
TmMnCo2
1.0
3.200 0.000 0.000
0.000 4.266 0.000
0.000 0.000 4.266
Tm Co Mn
1 2 1
Direct
0.500 0.000 0.000 Tm
0.000 0.500 0.000 Co
0.000 0.000 0.500 Co
0.500 0.500 0.500 Mn
```

***

E above lowest polymorph for every record listed, in sequence, given in meV/atom: 0; 68; 29.
Spin magnetization for every record listed, in sequence, given in μB/f.u.: 0.00; 0.00; 4.69.